Entry 1:
Below is a relaxed structure of YEr4Rh2, with properties calculated at the PBE level.

Unit cell a=7.7579 b=6.3149 c=7.8439 alpha=90.00 beta=112.46 gamma=90.00
Space group P2_1/m (No. 11)
Inequivalent atoms, fractional coordinates:
Y 0.0235 0.2500 0.1596 (multiplicity 2)
Er 0.2386 0.5019 0.5881 (multiplicity 4)
Er 0.3352 0.7500 0.2499 (multiplicity 2)
Er 0.3832 0.2500 0.0173 (multiplicity 2)
Rh 0.0111 0.2500 0.7392 (multiplicity 2)
Rh 0.4137 0.2500 0.3747 (multiplicity 2)

Results
Total DFT energy (no corrections): -6.1414 eV/atom
Crystal system: monoclinic
V: 355.1 Å³ per cell

***

Entry 2:
Below is a relaxed structure of Sm2HoTm4Th, with properties calculated at the PBE level.

Unit cell a=5.0303 b=5.0457 c=9.8838 alpha=90.00 beta=90.00 gamma=90.00
Space group Pmmm (No. 47)
Inequivalent atoms, fractional coordinates:
Sm 0.0000 0.0000 0.0000 (multiplicity 1)
Sm 0.5000 0.5000 0.5000 (multiplicity 1)
Ho 0.0000 0.0000 0.5000 (multiplicity 1)
Tm 0.0000 0.5000 0.2478 (multiplicity 2)
Tm 0.5000 0.0000 0.2475 (multiplicity 2)
Th 0.5000 0.5000 0.0000 (multiplicity 1)

Results
Total DFT energy (no corrections): -4.8832 eV/atom
Crystal system: orthorhombic
V: 250.9 Å³ per cell

***

Entry 3:
Below is a relaxed structure of Dy2Cd, with properties calculated at the PBE level.

Unit cell a=7.2689 b=7.2689 c=7.2689 alpha=90.00 beta=90.00 gamma=90.00
Space group Fm-3m (No. 225)
Inequivalent atoms, fractional coordinates:
Dy 0.2500 0.2500 0.2500 (multiplicity 8)
Cd 0.0000 0.0000 0.0000 (multiplicity 4)

Results
Total DFT energy (no corrections): -3.2768 eV/atom
Crystal system: cubic
V: 384.1 Å³ per cell

***

| no. | ΔE_f (eV/atom) | DOS at the Fermi energy (states/eV per cell) |
| --- | --- | --- |
| 1 | -0.510 | 15.338 |
| 2 | 0.032 | 11.623 |
| 3 | 0.096 | 17.112 |